No. 1
The following is a DFT calculation (GGA-PBEsol) of a relaxed Al2CdMo crystal.

```
Al2CdMo
1.0
2.776 0.000 0.000
0.000 4.850 0.010
-1.388 -0.606 4.870
Mo Al Cd
1 2 1
Direct
0.746 0.228 0.493
0.010 0.024 0.019
0.252 0.740 0.503
0.492 0.508 0.985
```

SG	Cm
total DFT energy (no corrections)	-20.9	eV per formula unit

---

No. 2
The following is a DFT calculation (GGA-PBEsol) of a relaxed LaZn2P crystal.

```
LaZn2P
1.0
3.666 0.000 0.000
0.000 3.666 0.000
0.000 0.000 6.174
La P Zn
1 1 2
Direct
0.000 0.000 0.544
0.500 0.500 0.762
0.000 0.000 0.042
0.500 0.500 0.152
```

SG	P4mm
total DFT energy (no corrections)	-15.7	eV per formula unit

---

No. 3
The following is a DFT calculation (GGA-PBEsol) of a relaxed Mg2HgO crystal.

```
Mg2HgO
1.0
4.543 0.000 0.000
2.272 3.934 0.000
2.272 1.311 3.709
Mg Hg O
2 1 1
Direct
0.250 0.250 0.250
0.750 0.750 0.750
0.500 0.500 0.500
0.000 0.000 0.000
```

SG	Fm-3m
formation energy from raw total energies	-1.52	eV per formula unit

---

No. 4
The following is a DFT calculation (GGA-PBEsol) of a relaxed ZrIn3I crystal.

```
ZrIn3I
1.0
5.673 0.000 0.000
0.000 5.673 0.000
0.000 0.000 5.673
I Zr In
1 1 3
Direct
0.500 0.500 0.500
0.000 0.000 0.000
0.000 0.500 0.000
0.000 0.000 0.500
0.500 0.000 0.000
```

SG	Pm-3m
formation energy from raw total energies	2.74	eV per formula unit

---

No. 5
The following is a DFT calculation (GGA-PBEsol) of a relaxed Ba2CoCu crystal.

```
Ba2CoCu
1.0
5.311 0.000 0.000
2.656 4.601 0.062
2.656 1.477 4.358
Co Ba Cu
1 2 1
Direct
0.000 0.500 0.500
0.750 0.250 0.250
0.250 0.750 0.750
0.500 0.000 0.000
```

SG	Fm-3m
offset from the most stable computed form	33.7	meV/atom

---

No. 6
The following is a DFT calculation (GGA-PBEsol) of a relaxed Tl2CrPb crystal.

```
Tl2CrPb
1.0
-2.827 -1.642 -1.833
2.787 -4.228 -0.511
-1.882 -1.784 4.498
Cr Pb Tl
1 1 2
Direct
0.500 0.000 0.500
0.000 0.500 0.500
0.000 0.000 0.000
0.500 0.500 0.000
```

SG	Pmmm
offset from the most stable computed form	49.7	meV/atom

---

No. 7
The following is a DFT calculation (GGA-PBEsol) of a relaxed Cd2TcOs crystal.

```
Cd2TcOs
1.0
2.828 0.000 0.000
0.000 4.827 0.025
0.000 -1.580 4.723
Cd Os Tc
2 1 1
Direct
0.000 0.000 0.000
0.500 0.500 0.000
0.500 0.000 0.500
0.000 0.500 0.500
```

SG	P2/m
offset from the most stable computed form	27.7	meV/atom

---

No. 8
The following is a DFT calculation (GGA-PBEsol) of a relaxed TiNb2Os crystal.

```
TiNb2Os
1.0
4.489 0.000 0.000
2.244 3.887 0.000
2.244 1.296 3.665
Nb Os Ti
2 1 1
Direct
0.250 0.250 0.250
0.750 0.750 0.750
0.500 0.500 0.500
0.000 0.000 0.000
```

SG	Fm-3m
total DFT energy (no corrections)	-43.2	eV per formula unit